Li2DyIn4 | PBE | relaxed

Lattice parameters (Å, degrees): 5.811 5.811 11.580 90.00 90.00 90.00
Space group I4/mmm (No. 139)
Unique sites:
1 Li 0.000 0.000 0.132 (multiplicity 4)
2 Dy 0.000 0.000 0.500 (multiplicity 2)
3 In 0.000 0.500 0.000 (multiplicity 4)
4 In 0.000 0.500 0.250 (multiplicity 4)

Values from the calculation:
As for the total magnetization: 0.00 μB per atom. For the theoretical density, the calculation gives 5.40 g/cm³. As for the calculated formation energy: 51.1 meV per atom. As for the total energy: -2.718 eV/atom. The density of states at the Fermi level is 0.689 states/eV per atom.